Record 1
CaMnIn2 | PBE | optimized geometry

DFT total energy (eV per atom): -4.0933
Crystal system: orthorhombic
Density of states at the Fermi level (states/eV/f.u.): 2.32
E_form (kJ/mol of atoms): 6.63

Geometry as POSCAR:
```
CaMnIn2
1.0
-1.713 2.207 6.772
1.713 -2.207 6.772
1.713 2.207 -6.772
Ca Mn In
1 1 2
Direct
0.000 0.000 0.000
0.796 0.296 0.500
0.294 0.794 0.500
0.628 0.628 0.000
```

=====

Record 2
CaMn2In | PBE | optimized geometry

DFT total energy (eV per atom): -5.6353
Crystal system: orthorhombic
Density of states at the Fermi level (states/eV/f.u.): 3.78
E_form (kJ/mol of atoms): 12.97

Geometry as POSCAR:
```
CaMn2In
1.0
3.222 0.000 0.000
0.000 3.258 0.000
0.000 0.000 7.713
Ca Mn In
1 2 1
Direct
0.000 0.000 0.000
0.000 0.000 0.567
0.500 0.500 0.694
0.500 0.500 0.319
```

=====

Record 3
Ca2MnIn | PBE | optimized geometry

DFT total energy (eV per atom): -3.9052
Crystal system: tetragonal
Density of states at the Fermi level (states/eV/f.u.): 4.06
E_form (kJ/mol of atoms): 7.00

Geometry as POSCAR:
```
Ca2MnIn
1.0
3.632 0.000 0.000
0.000 3.632 0.000
0.000 0.000 8.569
Ca Mn In
2 1 1
Direct
0.000 0.000 0.000
0.500 0.500 0.358
0.500 0.500 0.761
0.000 0.000 0.608
```

=====

Record 4
CaMn2In | PBE | optimized geometry

DFT total energy (eV per atom): -5.4497
Crystal system: tetragonal
Density of states at the Fermi level (states/eV/f.u.): 3.72
E_form (kJ/mol of atoms): 30.88

Geometry as POSCAR:
```
CaMn2In
1.0
-2.130 2.130 4.507
2.130 -2.130 4.507
2.130 2.130 -4.507
Ca Mn In
1 2 1
Direct
0.000 0.000 0.000
0.500 0.500 0.000
0.750 0.250 0.500
0.250 0.750 0.500
```

=====

no.,mass density (g/cm³)
1,5.264
2,5.431
3,3.671
4,5.374